[1]
LiPbCl, relaxed, DFT PBE; space group = F-43m, No. 216; size of the total moment = 0.0 μB/cell; DOS at the Fermi energy = 1.80 states/eV/cell; uncorrected formation energy = -0.6 eV per formula unit; ΔE to the lowest computed polymorph = 64.9 kJ per mole of atoms; crystal system = cubic
1.0
0.000 3.416 3.416
3.416 0.000 3.416
3.416 3.416 0.000
Li Pb Cl
1 1 1
direct
0.000 0.000 0.000 Li
0.250 0.250 0.250 Pb
0.750 0.750 0.750 Cl

[2]
ErLuPuPa, relaxed, DFT PBE; space group = F-43m, No. 216; energy of formation from the pure elements = 0.28 eV per atom; size of the total moment = 8.8 μB/cell; DOS at the Fermi energy = 8.20 states/eV/cell; crystal system = cubic
1.0
0.000 3.801 3.801
3.801 0.000 3.801
3.801 3.801 0.000
Er Lu Pu Pa
1 1 1 1
direct
0.000 0.000 0.000 Er
0.750 0.750 0.750 Lu
0.500 0.500 0.500 Pu
0.250 0.250 0.250 Pa

[3]
SiRhW2, relaxed, DFT PBE; space group = I-4m2, No. 119; size of the total moment = 0.0 μB/cell; DOS at the Fermi energy = 3.01 states/eV/cell; uncorrected formation energy = 0.0 eV per formula unit; crystal system = tetragonal
1.0
-1.936 1.936 3.964
1.936 -1.936 3.964
1.936 1.936 -3.964
Si Rh W
1 1 2
direct
0.000 0.000 0.000 Si
0.750 0.250 0.500 Rh
0.250 0.750 0.500 W
0.500 0.500 0.000 W

[4]
SrTcN3, relaxed, DFT PBE; space group = Cmcm, No. 63; size of the total moment = 0.0 μB/cell; DOS at the Fermi energy = 6.05 states/eV/cell; uncorrected formation energy = 0.3 eV per formula unit; crystal system = orthorhombic
1.0
1.773 -7.032 0.000
1.773 7.032 0.000
0.000 0.000 5.151
Sr Tc N
2 2 6
direct
0.161 0.839 0.750 Sr
0.839 0.161 0.250 Sr
0.456 0.544 0.750 Tc
0.544 0.456 0.250 Tc
0.000 0.000 0.000 N
0.000 0.000 0.500 N
0.012 0.343 0.750 N
0.343 0.012 0.250 N
0.657 0.988 0.750 N
0.988 0.657 0.250 N

[5]
Zr2NpIr, relaxed, DFT PBE; space group = Fm-3m, No. 225; energy of formation from the pure elements = -0.01 eV per atom; size of the total moment = 3.6 μB/cell; DOS at the Fermi energy = 13.43 states/eV/cell; ΔE to the lowest computed polymorph = 18.7 kJ per mole of atoms; crystal system = cubic
1.0
0.000 3.401 3.401
3.401 0.000 3.401
3.401 3.401 0.000
Zr Np Ir
2 1 1
direct
0.250 0.250 0.250 Zr
0.750 0.750 0.750 Zr
0.000 0.000 0.000 Np
0.500 0.500 0.500 Ir

[6]
Dy2BeFe2Co5, relaxed, DFT PBE; space group = P4/mbm, No. 127; energy of formation from the pure elements = 0.07 eV per atom; size of the total moment = 21.2 μB/cell; DOS at the Fermi energy = 19.62 states/eV/cell; crystal system = tetragonal
1.0
9.385 0.000 0.000
0.000 9.385 0.000
0.000 0.000 3.178
Dy Be Fe Co
4 2 4 10
direct
0.174 0.326 0.000 Dy
0.326 0.826 0.000 Dy
0.674 0.174 0.000 Dy
0.826 0.674 0.000 Dy
0.000 0.000 0.000 Be
0.500 0.500 0.000 Be
0.133 0.633 0.000 Fe
0.367 0.133 0.000 Fe
0.633 0.867 0.000 Fe
0.867 0.367 0.000 Fe
0.000 0.500 0.500 Co
0.052 0.816 0.500 Co
0.184 0.052 0.500 Co
0.316 0.552 0.500 Co
0.448 0.316 0.500 Co
0.500 0.000 0.500 Co
0.552 0.684 0.500 Co
0.684 0.448 0.500 Co
0.816 0.948 0.500 Co
0.948 0.184 0.500 Co

[7]
ReSbMo2, relaxed, DFT PBE; space group = P4/mmm, No. 123; size of the total moment = 0.0 μB/cell; DOS at the Fermi energy = 5.02 states/eV/cell; uncorrected formation energy = 1.6 eV per formula unit; crystal system = tetragonal
1.0
4.603 0.000 0.000
0.000 4.603 0.000
0.000 0.000 3.154
Re Sb Mo
1 1 2
direct
0.000 0.000 0.000 Re
0.500 0.500 0.000 Sb
0.000 0.500 0.500 Mo
0.500 0.000 0.500 Mo

[8]
SrAcBe2Si2, relaxed, DFT PBE; space group = P-3m1, No. 164; size of the total moment = 0.0 μB/cell; DOS at the Fermi energy = 2.29 states/eV/cell; uncorrected formation energy = -2.2 eV per formula unit; crystal system = trigonal
1.0
4.061 0.000 0.000
-2.031 3.517 0.000
0.000 0.000 9.209
Sr Ac Be Si
1 1 2 2
direct
0.000 0.000 0.000 Sr
0.000 0.000 0.500 Ac
0.333 0.667 0.255 Be
0.667 0.333 0.745 Be
0.333 0.667 0.750 Si
0.667 0.333 0.250 Si

[9]
Tm2NpHg, relaxed, DFT PBE; space group = P4/mmm, No. 123; energy of formation from the pure elements = 0.04 eV per atom; size of the total moment = 4.4 μB/cell; DOS at the Fermi energy = 9.72 states/eV/cell; crystal system = tetragonal
1.0
3.386 0.000 0.000
0.000 3.386 0.000
0.000 0.000 9.026
Tm Np Hg
2 1 1
direct
0.000 0.000 0.234 Tm
0.000 0.000 0.766 Tm
0.500 0.500 0.500 Np
0.500 0.500 0.000 Hg

[10]
SrTa2P, relaxed, DFT PBE; space group = F-43m, No. 216; energy of formation from the pure elements = 0.66 eV per atom; size of the total moment = 0.0 μB/cell; DOS at the Fermi energy = 5.29 states/eV/cell; crystal system = cubic
1.0
0.000 3.424 3.424
3.424 0.000 3.424
3.424 3.424 0.000
Sr Ta P
1 2 1
direct
0.000 0.000 0.000 Sr
0.500 0.500 0.500 Ta
0.750 0.750 0.750 Ta
0.250 0.250 0.250 P

[11]
CoNiRh2, relaxed, DFT PBE; space group = Pmmm, No. 47; energy of formation from the pure elements = 0.06 eV per atom; size of the total moment = 3.2 μB/cell; DOS at the Fermi energy = 7.22 states/eV/cell; ΔE to the lowest computed polymorph = 0.7 kJ per mole of atoms; crystal system = orthorhombic
1.0
2.648 0.000 0.000
0.000 3.624 0.000
0.000 0.000 5.324
Co Ni Rh
1 1 2
direct
0.000 0.000 0.000 Co
0.000 0.000 0.500 Ni
0.500 0.500 0.249 Rh
0.500 0.500 0.751 Rh

[12]
PmHoScCu, relaxed, DFT PBE; space group = F-43m, No. 216; energy of formation from the pure elements = 0.13 eV per atom; size of the total moment = 0.0 μB/cell; DOS at the Fermi energy = 3.79 states/eV/cell; crystal system = cubic
1.0
0.000 3.675 3.675
3.675 0.000 3.675
3.675 3.675 0.000
Pm Ho Sc Cu
1 1 1 1
direct
0.000 0.000 0.000 Pm
0.500 0.500 0.500 Ho
0.250 0.250 0.250 Sc
0.750 0.750 0.750 Cu